# Ac5BiAu2

An optimized crystal structure of Ac5BiAu2 (PBE-GGA, Alexandria).

POSCAR file:
```
Ac5BiAu2
1.0
8.054 0.000 -3.802
-1.795 7.852 -3.802
-0.408 -0.512 9.567
Ac Bi Au
10 2 4
Cartesian
2.568 5.178 2.244
4.506 7.608 -4.083
0.000 0.000 0.000
3.130 3.926 -3.802
1.346 -0.269 6.046
5.025 1.252 3.409
-1.111 3.657 4.882
0.826 6.088 -1.445
6.963 3.683 -2.918
3.283 2.162 -0.281
4.490 5.633 -0.919
1.361 1.707 2.883
0.493 2.818 -1.901
4.910 1.108 -2.974
1.349 6.743 -4.630
5.767 5.034 -5.703
```

Values from the calculation:
Formation enthalpy at 0 K, meV/atom: -630